Entry 1:
## YAlCl2 (GGA-PBEsol)

Data for a geometry-optimized YAlCl2 structure.

Computed properties:
Energy above the lowest structure with this stoichiometry, eV/f.u.: 0.35
Calculated volume, A^3/atom: 20.99
Formation energy (no corrections), eV per formula unit: -4.02
Final energy, eV/atom: -4.738

abc: 3.3951 4.4132 5.6036
angles: 90.00 90.00 90.00
Closest atoms and distances in Å follow each position.
Sites, in units of the cell vectors:
Y (0.5000, 0.5000, 0.0000)  4 Cl 2.78
Al (0.0000, 0.5000, 0.5000)  4 Cl 2.78
Cl (0.0000, 0.0000, 0.0000)  4 Y 2.78
Cl (0.5000, 0.0000, 0.5000)  4 Al 2.78

---

Entry 2:
## YAlCl2 (GGA-PBEsol)

Data for a geometry-optimized YAlCl2 structure.

Computed properties:
Energy above the lowest structure with this stoichiometry, eV/f.u.: 0.00
Calculated volume, A^3/atom: 21.79
Formation energy (no corrections), eV per formula unit: -4.37
Final energy, eV/atom: -4.824

abc: 3.4015 5.3926 5.0952
angles: 97.94 109.50 90.00
Closest atoms and distances in Å follow each position.
Sites, in units of the cell vectors:
Y (0.5000, 0.0000, 0.0000)  4 Cl 2.75
Al (0.0000, 0.5000, 0.0000)  2 Cl 2.64
Cl (0.2057, 0.2241, 0.4115)  1 Al 2.64, 2 Y 2.75
Cl (0.7943, 0.7759, 0.5885)  1 Al 2.64, 2 Y 2.75